1.
The following is a DFT calculation (PBE-GGA) of Ce3ErP4 after structural relaxation.

Cell and atoms, written as POSCAR:
```
Ce3ErP4
1.0
7.0340 0.0629 0.0000
-2.4060 6.6067 0.0000
0.0000 0.0000 8.1235
P Er Ce
8 2 6
direct
0.0003 0.7542 0.8774
0.4977 0.2472 0.3725
0.9977 0.2472 0.6275
0.5003 0.7542 0.1226
0.9997 0.2458 0.1226
0.5023 0.7528 0.6275
0.0023 0.7528 0.3725
0.4997 0.2458 0.8774
0.2500 0.0000 0.1239
0.7500 0.0000 0.8761
0.7500 0.0000 0.3737
0.2500 0.5000 0.3738
0.2500 0.5000 0.8760
0.7500 0.5000 0.1240
0.2500 0.0000 0.6263
0.7500 0.5000 0.6262
```

Summary:
Its formation energy is -1521 meV/atom. For the density, the calculation gives 6.239 g/cm3.


2.
The following is a DFT calculation (PBE-GGA) of Ce3ErP4 after structural relaxation.

Cell and atoms, written as POSCAR:
```
Ce3ErP4
1.0
-1.5781 3.6260 -0.9314
1.3047 -1.1804 -6.8062
-6.4169 -2.3802 1.6059
P Ce Er
4 3 1
direct
0.5000 0.7525 0.2475
0.5000 0.2475 0.7525
0.0000 0.2458 0.2458
0.0000 0.7542 0.7542
0.5000 0.5000 0.5000
0.0000 0.0000 0.5000
0.0000 0.5000 0.0000
0.5000 0.0000 0.0000
```

Summary:
Its formation energy is -1521 meV/atom. For the density, the calculation gives 6.242 g/cm3.


Repeat the first record exactly.
The following is a DFT calculation (PBE-GGA) of Ce3ErP4 after structural relaxation.

Cell and atoms, written as POSCAR:
```
Ce3ErP4
1.0
7.0340 0.0629 0.0000
-2.4060 6.6067 0.0000
0.0000 0.0000 8.1235
P Er Ce
8 2 6
direct
0.0003 0.7542 0.8774
0.4977 0.2472 0.3725
0.9977 0.2472 0.6275
0.5003 0.7542 0.1226
0.9997 0.2458 0.1226
0.5023 0.7528 0.6275
0.0023 0.7528 0.3725
0.4997 0.2458 0.8774
0.2500 0.0000 0.1239
0.7500 0.0000 0.8761
0.7500 0.0000 0.3737
0.2500 0.5000 0.3738
0.2500 0.5000 0.8760
0.7500 0.5000 0.1240
0.2500 0.0000 0.6263
0.7500 0.5000 0.6262
```

Summary:
Its formation energy is -1521 meV/atom. For the density, the calculation gives 6.239 g/cm3.


Copy entry 1 word for word.
The following is a DFT calculation (PBE-GGA) of Ce3ErP4 after structural relaxation.

Cell and atoms, written as POSCAR:
```
Ce3ErP4
1.0
7.0340 0.0629 0.0000
-2.4060 6.6067 0.0000
0.0000 0.0000 8.1235
P Er Ce
8 2 6
direct
0.0003 0.7542 0.8774
0.4977 0.2472 0.3725
0.9977 0.2472 0.6275
0.5003 0.7542 0.1226
0.9997 0.2458 0.1226
0.5023 0.7528 0.6275
0.0023 0.7528 0.3725
0.4997 0.2458 0.8774
0.2500 0.0000 0.1239
0.7500 0.0000 0.8761
0.7500 0.0000 0.3737
0.2500 0.5000 0.3738
0.2500 0.5000 0.8760
0.7500 0.5000 0.1240
0.2500 0.0000 0.6263
0.7500 0.5000 0.6262
```

Summary:
Its formation energy is -1521 meV/atom. For the density, the calculation gives 6.239 g/cm3.